Record 1
The following is a GGA-PBE calculation of crystalline ZnFe2Rh2 at its relaxed geometry, from Alexandria.

a = 7.119 Å, b = 7.119 Å, c = 2.799 Å
α = 90.00°, β = 90.00°, γ = 90.00°
Sites, in units of the cell vectors:
Zn: 0.000 0.000 0.000
Zn: 0.500 0.500 0.000
Fe: 0.121 0.379 0.000
Fe: 0.379 0.879 0.000
Fe: 0.621 0.121 0.000
Fe: 0.879 0.621 0.000
Rh: 0.175 0.675 0.500
Rh: 0.325 0.175 0.500
Rh: 0.675 0.825 0.500
Rh: 0.825 0.325 0.500

Values from the calculation:
- SG = P4/mbm, No. 127
- relative energy among the computed polymorphs (meV/atom) = 35
- total magnetization (μB/f.u.) = 6.755
- crystal system = tetragonal
- Fermi-level density of states (states/eV per atom) = 1.25


Record 2
The following is a GGA-PBE calculation of crystalline Ce2SmSn at its relaxed geometry, from Alexandria.

a = 12.423 Å, b = 12.423 Å, c = 12.423 Å
α = 15.81°, β = 15.81°, γ = 15.81°
Sites, in units of the cell vectors:
Ce: 0.087 0.087 0.087
Ce: 0.913 0.913 0.913
Sm: 0.500 0.500 0.500
Sn: 0.000 0.000 0.000

Values from the calculation:
- SG = R-3m, No. 166
- relative energy among the computed polymorphs (meV/atom) = 583
- total magnetization (μB/f.u.) = 1.988
- crystal system = trigonal
- Fermi-level density of states (states/eV per atom) = 2.56


Record 3
The following is a GGA-PBE calculation of crystalline SrLa2Os at its relaxed geometry, from Alexandria.

a = 4.290 Å, b = 4.290 Å, c = 9.662 Å
α = 90.00°, β = 90.00°, γ = 120.00°
Sites, in units of the cell vectors:
Sr: 0.000 0.000 0.000
La: 0.333 0.667 0.648
La: 0.667 0.333 0.352
Os: 0.000 0.000 0.500

Values from the calculation:
- SG = P-3m1, No. 164
- relative energy among the computed polymorphs (meV/atom) = 0
- total magnetization (μB/f.u.) = 0.000
- crystal system = trigonal
- Fermi-level density of states (states/eV per atom) = 0.81


Record 4
The following is a GGA-PBE calculation of crystalline CsCr3S at its relaxed geometry, from Alexandria.

a = 5.823 Å, b = 5.823 Å, c = 5.823 Å
α = 90.00°, β = 90.00°, γ = 90.00°
Sites, in units of the cell vectors:
Cs: 0.000 0.000 0.000
Cr: 0.000 0.000 0.500
Cr: 0.000 0.500 0.000
Cr: 0.500 0.000 0.000
S: 0.500 0.500 0.500

Values from the calculation:
- SG = Pm-3m, No. 221
- relative energy among the computed polymorphs (meV/atom) = 1578
- total magnetization (μB/f.u.) = 16.592
- crystal system = cubic
- Fermi-level density of states (states/eV per atom) = 0.88
- energy relative to the elements, uncorrected (eV/atom) = 2.52


Record 5
The following is a GGA-PBE calculation of crystalline Ac6La2Nd3 at its relaxed geometry, from Alexandria.

a = 6.701 Å, b = 6.701 Å, c = 12.385 Å
α = 95.21°, β = 95.21°, γ = 120.08°
Sites, in units of the cell vectors:
Ac: 0.083 0.416 0.249
Ac: 0.250 0.250 0.751
Ac: 0.416 0.083 0.249
Ac: 0.584 0.917 0.751
Ac: 0.750 0.750 0.249
Ac: 0.917 0.584 0.751
La: 0.334 0.666 0.000
La: 0.666 0.334 0.000
Nd: 0.166 0.834 0.500
Nd: 0.500 0.500 0.500
Nd: 0.834 0.166 0.500

Values from the calculation:
- SG = C2/m, No. 12
- raw total energy (eV per atom) = -4.265
- total magnetization (μB/f.u.) = 0.001
- crystal system = monoclinic
- Fermi-level density of states (states/eV per atom) = 1.65


Record 6
The following is a GGA-PBE calculation of crystalline K2CrP at its relaxed geometry, from Alexandria.

a = 4.998 Å, b = 4.998 Å, c = 4.842 Å
α = 90.00°, β = 90.00°, γ = 113.35°
Sites, in units of the cell vectors:
K: 0.000 0.500 0.000
K: 0.500 0.000 0.000
Cr: 0.000 0.000 0.500
P: 0.500 0.500 0.500

Values from the calculation:
- SG = Cmmm, No. 65
- raw total energy (eV per atom) = -3.784
- total magnetization (μB/f.u.) = 4.861
- crystal system = orthorhombic
- Fermi-level density of states (states/eV per atom) = 0.47